This record from Alexandria via LeMat-Bulk describes a relaxed structure of Li5Ni3Sn2O10. The functional is GGA+U.

Output
The space-group type is P-1 (2). The energy above the most stable polymorph in this dataset comes out at 0.0 meV/atom. Its energy is -5.33 eV/atom.

Cell and atoms, written as CIF:
```
data_Li5Ni3Sn2O10
_space_group_name_H-M_alt 'P 1'
_space_group_IT_number 1
_cell_length_a 5.211
_cell_length_b 5.220
_cell_length_c 8.013
_cell_angle_alpha 108.26
_cell_angle_beta 101.52
_cell_angle_gamma 100.60
loop_
_space_group_symop_operation_xyz
'x,y,z'
loop_
_atom_site_label
_atom_site_type_symbol
_atom_site_fract_x
_atom_site_fract_y
_atom_site_fract_z
_atom_site_occupancy
Li1 Li 0.000 0.000 0.000 1
Li2 Li 0.082 0.202 0.703 1
Li3 Li 0.275 0.588 0.098 1
Li4 Li 0.725 0.412 0.902 1
Li5 Li 0.918 0.798 0.297 1
Ni1 Ni 0.200 0.397 0.400 1
Ni2 Ni 0.500 0.000 0.500 1
Ni3 Ni 0.800 0.603 0.600 1
Sn1 Sn 0.395 0.792 0.801 1
Sn2 Sn 0.605 0.208 0.199 1
O1 O 0.043 0.603 0.837 1
O2 O 0.164 0.797 0.553 1
O3 O 0.276 0.015 0.272 1
O4 O 0.359 0.189 0.954 1
O5 O 0.449 0.407 0.643 1
O6 O 0.551 0.593 0.357 1
O7 O 0.641 0.811 0.046 1
O8 O 0.724 0.985 0.728 1
O9 O 0.836 0.203 0.447 1
O10 O 0.957 0.397 0.163 1
```